# 1
Mg3InHg2 (GGA-PBE, relaxed); V = 22.10 Å³/atom; ΔE_f = -0.1736 eV per atom; energy relative to the lowest polymorph listed for this composition = 0.0 meV/atom
1.0
3.6032 0.0000 0.0000
0.0000 3.6032 0.0000
0.0000 0.0000 10.2145
Mg In Hg
3 1 2
Direct
0.0000 0.0000 0.0000 Mg
0.0000 0.0000 0.3197 Mg
0.0000 0.0000 0.6803 Mg
0.5000 0.5000 0.5000 In
0.5000 0.5000 0.1633 Hg
0.5000 0.5000 0.8367 Hg

***

# 2
Mg2ZnPd (GGA-PBE, relaxed); V = 16.82 Å³/atom; ΔE_f = -0.4224 eV per atom
1.0
4.3373 0.0000 0.0000
0.0000 4.3373 0.0000
0.0000 0.0000 3.5766
Mg Zn Pd
2 1 1
Direct
0.0000 0.5000 0.0000 Mg
0.5000 0.0000 0.0000 Mg
0.0000 0.0000 0.5000 Zn
0.5000 0.5000 0.5000 Pd

***

# 3
Pr12Nd7Cd (GGA-PBE, relaxed); V = 40.49 Å³/atom; ΔE_f = 0.5907 eV per atom; energy relative to the lowest polymorph listed for this composition = 441.4 meV/atom
1.0
-5.8720 5.8720 5.8720
5.8720 -5.8720 5.8720
5.8720 5.8720 -5.8720
Pr Nd Cd
12 7 1
Direct
0.0008 0.7572 0.2436 Pr
0.2428 0.2436 0.4864 Pr
0.2428 0.7564 0.9992 Pr
0.2436 0.0008 0.7572 Pr
0.2436 0.4864 0.2428 Pr
0.4864 0.2428 0.2436 Pr
0.5136 0.7572 0.7564 Pr
0.7564 0.5136 0.7572 Pr
0.7564 0.9992 0.2428 Pr
0.7572 0.2436 0.0008 Pr
0.7572 0.7564 0.5136 Pr
0.9992 0.2428 0.7564 Pr
0.0000 0.0000 0.5000 Nd
0.0000 0.5000 0.0000 Nd
0.0000 0.5000 0.5000 Nd
0.5000 0.0000 0.0000 Nd
0.5000 0.0000 0.5000 Nd
0.5000 0.5000 0.0000 Nd
0.5000 0.5000 0.5000 Nd
0.0000 0.0000 0.0000 Cd

***

# 4
HfBe4Ni2 (GGA-PBE, relaxed); V = 10.48 Å³/atom; ΔE_f = -0.3052 eV per atom
1.0
-2.8013 2.8013 2.3382
2.8013 -2.8013 2.3382
2.8013 2.8013 -2.3382
Hf Be Ni
1 4 2
Direct
0.0000 0.0000 0.0000 Hf
0.3152 0.3152 0.6303 Be
0.3152 0.6848 0.0000 Be
0.6848 0.3152 0.0000 Be
0.6848 0.6848 0.3697 Be
0.2500 0.7500 0.5000 Ni
0.7500 0.2500 0.5000 Ni

***

# 5
CaLa2Eu (GGA-PBE, relaxed); V = 39.45 Å³/atom; ΔE_f = 0.1072 eV per atom; energy relative to the lowest polymorph listed for this composition = 48.4 meV/atom
1.0
4.1527 0.0000 0.0000
0.0000 4.1527 0.0000
0.0000 0.0000 9.1510
Ca La Eu
1 2 1
Direct
0.0000 0.0000 0.0000 Ca
0.5000 0.5000 0.2460 La
0.5000 0.5000 0.7540 La
0.0000 0.0000 0.5000 Eu

***

# 6
CrTc2Ru (GGA-PBE, relaxed); V = 13.81 Å³/atom; ΔE_f = 0.1197 eV per atom; energy relative to the lowest polymorph listed for this composition = 13.5 meV/atom
1.0
2.7039 0.0000 0.0000
0.0000 3.7783 0.0000
0.0000 0.0000 5.4090
Cr Tc Ru
1 2 1
Direct
0.0000 0.0000 0.0000 Cr
0.5000 0.5000 0.2395 Tc
0.5000 0.5000 0.7605 Tc
0.0000 0.0000 0.5000 Ru

***

# 7
Tm6C2N (GGA-PBE, relaxed); V = 21.03 Å³/atom; formation energy (no corrections) = -0.594 eV per atom
1.0
6.0477 0.0000 0.0000
-3.0239 5.2375 0.0000
0.0000 0.0000 5.9752
Tm C N
6 2 1
Direct
0.0000 0.3301 0.2221 Tm
0.0000 0.6699 0.7779 Tm
0.3301 0.0000 0.2221 Tm
0.3301 0.3301 0.7779 Tm
0.6699 0.0000 0.7779 Tm
0.6699 0.6699 0.2221 Tm
0.3333 0.6667 0.0000 C
0.6667 0.3333 0.0000 C
0.0000 0.0000 0.0000 N

***

# 8
GaSn3Se4 (GGA-PBE, relaxed); V = 29.94 Å³/atom; formation energy (no corrections) = -0.351 eV per atom
1.0
8.5754 0.0000 0.0000
0.0000 9.1341 0.0000
0.0000 0.0000 6.1151
Ga Sn Se
2 6 8
Direct
0.0000 0.2134 0.0000 Ga
0.5000 0.7866 0.5000 Ga
0.0000 0.9097 0.4551 Sn
0.1922 0.6529 0.9613 Sn
0.3078 0.3471 0.4613 Sn
0.5000 0.0903 0.9551 Sn
0.6922 0.3471 0.4613 Sn
0.8078 0.6529 0.9613 Sn
0.0000 0.2321 0.4096 Se
0.0000 0.9488 0.9117 Se
0.2432 0.6654 0.4179 Se
0.2568 0.3346 0.9179 Se
0.5000 0.0512 0.4117 Se
0.5000 0.7679 0.9096 Se
0.7432 0.3346 0.9179 Se
0.7568 0.6654 0.4179 Se

***

We obtain magnetization values of 0.00; 0.00; 0.00; 0.00; 7.53; 0.01; 1.55; 0.00 μB/f.u. for the records listed above, in that order.